Entry 1:
Ho2ZnPt | GGA-PBEsol | relaxed

Output
* DFT formation energy: -0.7951 eV per atom

a b c (Å): 6.899 6.899 6.899
angles (deg): 90.00 90.00 90.00
Space group Fm-3m (No. 225)
Asymmetric unit:
Ho  0.250  0.250  0.250 [8 per cell]
Zn  0.000  0.000  0.000 [4 per cell]
Pt  0.000  0.000  0.500 [4 per cell]

Entry 2:
RbHoSe2 | GGA-PBEsol | relaxed

Output
* E_form (uncorrected): -1.733 eV/atom

a b c (Å): 4.1476 4.1476 23.5758
angles (deg): 90.00 90.00 120.00
Space group R-3m (No. 166, hexagonal axes)
Asymmetric unit:
Rb  0.0000  0.0000  0.0000 [3 per cell]
Ho  0.0000  0.0000  0.5000 [3 per cell]
Se  0.0000  0.0000  0.2321 [6 per cell]

Entry 3:
HoRh2 | GGA-PBEsol | relaxed

Output
* DFT formation energy: -0.7487 eV per atom

a b c (Å): 7.406 7.406 7.406
angles (deg): 90.00 90.00 90.00
Space group Fd-3m (No. 227, origin choice 2)
Asymmetric unit:
Ho  0.125  0.125  0.125 [8 per cell]
Rh  0.000  0.000  0.500 [16 per cell]

Entry 4:
Ho7Rh3 | GGA-PBEsol | relaxed

Output
* DFT formation energy: -0.6030 eV per atom

a b c (Å): 9.5936 9.5936 6.0089
angles (deg): 90.00 90.00 120.00
Space group P6_3mc (No. 186)
Asymmetric unit:
Ho  0.0816  0.5408  0.0000 [6 per cell]
Ho  0.1234  0.2469  0.2999 [6 per cell]
Ho  0.3333  0.6667  0.5099 [2 per cell]
Rh  0.1899  0.3798  0.7353 [6 per cell]